Density functional theory data (PBE) for an optimized crystal structure of CuBiIO2.

ΔE_f (raw) (eV/atom): 0.244
Density of states at the Fermi level (states/eV/atom): 0.195
Polymorph energy (0 for the lowest one) (meV/atom): 984
Electronic total energy (Ry per atom): -0.268

Cell lengths 4.287, 4.287, 4.810 Å; angles 90.00, 90.00, 90.00 degrees
Positions (direct):
1 Cu 0.000 0.000 0.000
2 Bi 0.500 0.500 0.500
3 I 0.000 0.000 0.500
4 O 0.000 0.500 0.000
5 O 0.500 0.000 0.000

=====

Density functional theory data (PBE) for an optimized crystal structure of KNaSbI2.

ΔE_f (raw) (eV/atom): -0.173
Polymorph energy (0 for the lowest one) (meV/atom): 233
Electronic total energy (Ry per atom): -0.154

Cell lengths 6.635, 6.635, 6.546 Å; angles 90.00, 90.00, 90.00 degrees
Positions (direct):
1 K 0.000 0.000 0.000
2 Na 0.500 0.500 0.500
3 Sb 0.000 0.000 0.500
4 I 0.000 0.500 0.000
5 I 0.500 0.000 0.000

=====

Density functional theory data (PBE) for an optimized crystal structure of CeYLu.

Density of states at the Fermi level (states/eV/atom): 2.088
Polymorph energy (0 for the lowest one) (meV/atom): 0
Electronic total energy (Ry per atom): -0.410
Formation energy from the elements (kJ/mol of atoms): 6.5

Cell lengths 3.499, 3.499, 8.570 Å; angles 90.00, 90.00, 120.00 degrees
Positions (direct):
1 Ce 0.000 0.000 0.000
2 Y 0.333 0.667 0.664
3 Lu 0.667 0.333 0.327

=====

Density functional theory data (PBE) for an optimized crystal structure of CdTcPRh2.

Density of states at the Fermi level (states/eV/atom): 1.420
Electronic total energy (Ry per atom): -0.308
Formation energy from the elements (kJ/mol of atoms): 201.1

Cell lengths 4.852, 4.852, 4.994 Å; angles 90.00, 90.00, 90.00 degrees
Positions (direct):
1 Cd 0.000 0.000 0.000
2 Tc 0.000 0.000 0.500
3 P 0.500 0.500 0.500
4 Rh 0.000 0.500 0.000
5 Rh 0.500 0.000 0.000

=====

Density functional theory data (PBE) for an optimized crystal structure of Sm2BiBr.

ΔE_f (raw) (eV/atom): -0.957
Density of states at the Fermi level (states/eV/atom): 0.655
Polymorph energy (0 for the lowest one) (meV/atom): 0
Electronic total energy (Ry per atom): -0.346

Cell lengths 4.525, 4.525, 20.427 Å; angles 90.00, 90.00, 120.00 degrees
Positions (direct):
1 Sm 0.000 0.000 0.245
2 Sm 0.000 0.000 0.755
3 Sm 0.333 0.667 0.422
4 Sm 0.333 0.667 0.911
5 Sm 0.667 0.333 0.089
6 Sm 0.667 0.333 0.578
7 Bi 0.000 0.000 0.000
8 Bi 0.333 0.667 0.667
9 Bi 0.667 0.333 0.333
10 Br 0.000 0.000 0.500
11 Br 0.333 0.667 0.167
12 Br 0.667 0.333 0.833

=====

Density functional theory data (PBE) for an optimized crystal structure of Hf2VGa.

Density of states at the Fermi level (states/eV/atom): 0.724
Electronic total energy (Ry per atom): -0.602
Formation energy from the elements (kJ/mol of atoms): -17.1

Cell lengths 4.398, 4.398, 3.750 Å; angles 90.00, 90.00, 90.00 degrees
Positions (direct):
1 Hf 0.000 0.500 0.000
2 Hf 0.500 0.000 0.000
3 V 0.000 0.000 0.500
4 Ga 0.500 0.500 0.500

=====

Density functional theory data (PBE) for an optimized crystal structure of RbTi3Bi3.

Density of states at the Fermi level (states/eV/atom): 1.049
Electronic total energy (Ry per atom): -0.391
Formation energy from the elements (kJ/mol of atoms): -12.6

Cell lengths 10.370, 10.370, 4.781 Å; angles 90.00, 90.00, 120.00 degrees
Positions (direct):
1 Rb 0.333 0.667 0.250
2 Rb 0.667 0.333 0.750
3 Ti 0.033 0.188 0.250
4 Ti 0.155 0.967 0.250
5 Ti 0.188 0.155 0.750
6 Ti 0.812 0.845 0.250
7 Ti 0.845 0.033 0.750
8 Ti 0.967 0.812 0.750
9 Bi 0.057 0.352 0.750
10 Bi 0.294 0.943 0.750
11 Bi 0.352 0.294 0.250
12 Bi 0.648 0.706 0.750
13 Bi 0.706 0.057 0.250
14 Bi 0.943 0.648 0.250

=====

Density functional theory data (PBE) for an optimized crystal structure of NpSiTc2.

ΔE_f (raw) (eV/atom): -0.131
Density of states at the Fermi level (states/eV/atom): 2.060
Polymorph energy (0 for the lowest one) (meV/atom): 58
Electronic total energy (Ry per atom): -0.728

Cell lengths 6.369, 6.369, 6.369 Å; angles 90.00, 90.00, 90.00 degrees
Positions (direct):
1 Np 0.000 0.000 0.000
2 Np 0.000 0.500 0.500
3 Np 0.500 0.000 0.500
4 Np 0.500 0.500 0.000
5 Si 0.000 0.000 0.500
6 Si 0.000 0.500 0.000
7 Si 0.500 0.000 0.000
8 Si 0.500 0.500 0.500
9 Tc 0.250 0.250 0.250
10 Tc 0.250 0.250 0.750
11 Tc 0.250 0.750 0.250
12 Tc 0.250 0.750 0.750
13 Tc 0.750 0.250 0.250
14 Tc 0.750 0.250 0.750
15 Tc 0.750 0.750 0.250
16 Tc 0.750 0.750 0.750

=====

> Number 1 is which compound?

CuBiIO2